1.
NaGaPF2 | PBEsol | optimized geometry

Total moment in μB per cell: 0.0
VASP energy in eV/atom: -3.686

a b c (Å): 4.1259 4.1259 5.0328
angles (deg): 90.00 90.00 90.00
Space group P4/mmm (No. 123)
One atom of each set of equivalent atoms:
Na  0.0000  0.0000  0.0000
Ga  0.5000  0.5000  0.0000
P  0.5000  0.5000  0.5000
F  0.0000  0.5000  0.5000

2.
CrGe3Ir | PBEsol | optimized geometry

Total moment in μB per cell: 2.7
DFT formation energy in eV/atom: 0.935

a b c (Å): 4.5066 4.5066 4.5066
angles (deg): 90.00 90.00 90.00
Space group Pm-3m (No. 221)
One atom of each set of equivalent atoms:
Cr  0.0000  0.0000  0.0000
Ge  0.0000  0.0000  0.5000
Ir  0.5000  0.5000  0.5000

3.
SrTaAl2 | PBEsol | optimized geometry

Total moment in μB per cell: 0.0
DFT formation energy in eV/atom: 0.348

a b c (Å): 2.9802 5.2373 10.5646
angles (deg): 90.00 90.00 90.00
Space group Imm2 (No. 44)
One atom of each set of equivalent atoms:
Sr  0.0000  0.0000  0.0000
Ta  0.0000  0.5000  0.7841
Al  0.0000  0.0000  0.5060
Al  0.0000  0.5000  0.2282

4.
BaTeI2Br | PBEsol | optimized geometry

Total moment in μB per cell: 3.0
VASP energy in eV/atom: -2.419

a b c (Å): 6.5433 6.5433 6.9948
angles (deg): 90.00 90.00 90.00
Space group P4/mmm (No. 123)
One atom of each set of equivalent atoms:
Ba  0.0000  0.0000  0.0000
Te  0.0000  0.0000  0.5000
I  0.0000  0.5000  0.0000
Br  0.5000  0.5000  0.5000

5.
CoTc4Ag | PBEsol | optimized geometry

Total moment in μB per cell: 6.8
DFT formation energy in eV/atom: 0.653

a b c (Å): 7.0856 7.0856 7.0856
angles (deg): 90.00 90.00 90.00
Space group F-43m (No. 216)
One atom of each set of equivalent atoms:
Co  0.0000  0.0000  0.0000
Tc  0.1250  0.1250  0.3750
Ag  0.2500  0.2500  0.7500

6.
ScAs2Os | PBEsol | optimized geometry

Total moment in μB per cell: 0.0
DFT formation energy in eV/atom: -0.312
Polymorph energy (0 for the lowest one) in meV/atom: 135

a b c (Å): 4.4926 4.4926 3.1201
angles (deg): 90.00 90.00 90.00
Space group P4/mmm (No. 123)
One atom of each set of equivalent atoms:
Sc  0.0000  0.0000  0.0000
As  0.0000  0.5000  0.5000
Os  0.5000  0.5000  0.0000

7.
CaTa2P | PBEsol | optimized geometry

Total moment in μB per cell: 0.0
DFT formation energy in eV/atom: 0.545
Polymorph energy (0 for the lowest one) in meV/atom: 526

a b c (Å): 5.6540 7.7525 3.2378
angles (deg): 90.00 90.00 90.00
Space group Cmmm (No. 65)
One atom of each set of equivalent atoms:
Ca  0.0000  0.0000  0.0000
Ta  0.2500  0.2500  0.5000
P  0.0000  0.5000  0.0000

8.
Ca2CdCl | PBEsol | optimized geometry

Total moment in μB per cell: 0.0
Polymorph energy (0 for the lowest one) in meV/atom: 0

a b c (Å): 3.9102 3.9102 24.4219
angles (deg): 90.00 90.00 120.00
Space group R-3m (No. 166, hexagonal axes)
One atom of each set of equivalent atoms:
Ca  0.0000  0.0000  0.2457
Cd  0.0000  0.0000  0.0000
Cl  0.0000  0.0000  0.5000

9.
LaZrBr2 | PBEsol | optimized geometry

Total moment in μB per cell: 0.0
Polymorph energy (0 for the lowest one) in meV/atom: 0

a b c (Å): 5.1668 3.4527 10.8813
angles (deg): 90.00 90.00 90.00
Space group Amm2 (No. 38)
One atom of each set of equivalent atoms:
La  0.0000  0.0000  0.0000
Zr  0.5000  0.0000  0.6640
Br  0.0000  0.0000  0.7246
Br  0.5000  0.0000  0.3890

10.
Cr2SiOs | PBEsol | optimized geometry

Total moment in μB per cell: 0.0
VASP energy in eV/atom: -9.871

a b c (Å): 2.9021 3.9490 8.3030
angles (deg): 90.00 90.00 90.00
Space group Immm (No. 71)
One atom of each set of equivalent atoms:
Cr  0.0000  0.0000  0.2441
Si  0.0000  0.5000  0.5000
Os  0.0000  0.5000  0.0000

11.
Be3Fe | PBEsol | optimized geometry

Total moment in μB per cell: 1.6
DFT formation energy in eV/atom: -0.198

a b c (Å): 3.2147 3.2147 3.2147
angles (deg): 90.00 90.00 90.00
Space group Pm-3m (No. 221)
One atom of each set of equivalent atoms:
Be  0.0000  0.0000  0.5000
Fe  0.5000  0.5000  0.5000

12.
HgIr2OsPd | PBEsol | optimized geometry

Total moment in μB per cell: 4.3
DFT formation energy in eV/atom: 2.543

a b c (Å): 4.6508 4.6508 4.7756
angles (deg): 90.00 90.00 90.00
Space group P4/mmm (No. 123)
One atom of each set of equivalent atoms:
Hg  0.0000  0.0000  0.0000
Ir  0.0000  0.5000  0.5000
Os  0.5000  0.5000  0.0000
Pd  0.0000  0.0000  0.5000